1.
VASP calculation (PBE) on crystalline CdMoW2 at its relaxed geometry.

Cell and atoms, written as CIF:
```
data_CdMoW2
_chemical_formula_sum 'Cd1 Mo1 W2'
_cell_length_a 2.703
_cell_length_b 2.703
_cell_length_c 9.370
_cell_angle_alpha 90.00
_cell_angle_beta 90.00
_cell_angle_gamma 90.00
_space_group_name_H-M_alt 'P 1'
_space_group_IT_number 1
loop_
_space_group_symop_operation_xyz
'x,y,z'
loop_
_atom_site_label
_atom_site_type_symbol
_atom_site_fract_x
_atom_site_fract_y
_atom_site_fract_z
_atom_site_occupancy
Cd1 Cd 0.000 0.000 0.000 1
Mo1 Mo 0.500 0.500 0.256 1
W1 W 0.000 0.000 0.499 1
W2 W 0.500 0.500 0.743 1
```

* SG: No. 99
* D(E_F): 3.0 states/eV/cell
* ΔE_f: 0.50 eV per atom
* total magnetic moment: 0.0 μB/cell
* density: 14.0 Mg/m³
* energy: -35.7 eV per cell



2.
VASP calculation (PBE) on crystalline Pa2Ga3Pt2 at its relaxed geometry.

Cell and atoms, written as CIF:
```
data_Pa2Ga3Pt2
_chemical_formula_sum 'Pa2 Ga3 Pt2'
_cell_length_a 5.453
_cell_length_b 5.453
_cell_length_c 6.578
_cell_angle_alpha 106.82
_cell_angle_beta 106.82
_cell_angle_gamma 47.32
_space_group_name_H-M_alt 'P 1'
_space_group_IT_number 1
loop_
_space_group_symop_operation_xyz
'x,y,z'
loop_
_atom_site_label
_atom_site_type_symbol
_atom_site_fract_x
_atom_site_fract_y
_atom_site_fract_z
_atom_site_occupancy
Pa1 Pa 0.143 0.143 0.277 1
Pa2 Pa 0.857 0.857 0.723 1
Ga1 Ga 0.395 0.395 0.075 1
Ga2 Ga 0.500 0.500 0.500 1
Ga3 Ga 0.605 0.605 0.925 1
Pt1 Pt 0.164 0.164 0.729 1
Pt2 Pt 0.836 0.836 0.271 1
```

* SG: No. 12
* D(E_F): 7.3 states/eV/cell
* ΔE_f: -0.72 eV per atom
* total magnetic moment: 0.0 μB/cell
* density: 12.9 Mg/m³
* energy: -45.2 eV per cell



3.
VASP calculation (PBE) on crystalline ScHgBi3 at its relaxed geometry.

Cell and atoms, written as CIF:
```
data_ScHgBi3
_chemical_formula_sum 'Sc1 Hg1 Bi3'
_cell_length_a 5.649
_cell_length_b 5.649
_cell_length_c 5.649
_cell_angle_alpha 90.00
_cell_angle_beta 90.00
_cell_angle_gamma 90.00
_space_group_name_H-M_alt 'P 1'
_space_group_IT_number 1
loop_
_space_group_symop_operation_xyz
'x,y,z'
loop_
_atom_site_label
_atom_site_type_symbol
_atom_site_fract_x
_atom_site_fract_y
_atom_site_fract_z
_atom_site_occupancy
Sc1 Sc 0.000 0.000 0.000 1
Hg1 Hg 0.500 0.500 0.500 1
Bi1 Bi 0.000 0.500 0.500 1
Bi2 Bi 0.500 0.000 0.500 1
Bi3 Bi 0.500 0.500 0.000 1
```

* SG: No. 221
* D(E_F): 5.5 states/eV/cell
* ΔE_f: 0.64 eV per atom
* total magnetic moment: 0.0 μB/cell
* density: 8.0 Mg/m³
* energy: -15.1 eV per cell
* energy above the lowest structure with this stoichiometry: 500 meV/atom